(1)
AcGe2IrRu | PBE | relaxed

Properties
* magnetization: 0.0 μB per formula unit
* Fermi-level density of states: 2.8 states/eV/f.u.
* energy of formation: -711 meV/atom
* energy: -7.01 eV/atom

Lattice parameters (Å, degrees): 4.325 4.325 10.688 90.00 90.00 90.00
Space group I-4m2 (No. 119)
Inequivalent atoms, fractional coordinates:
Ac (0.000, 0.000, 0.000) x2
Ge (0.000, 0.000, 0.365) x4
Ir (0.000, 0.500, 0.250) x2
Ru (0.000, 0.500, 0.750) x2

***

(2)
Ac2GeIrRu | PBE | relaxed

Properties
* magnetization: 0.0 μB per formula unit
* Fermi-level density of states: 2.4 states/eV/f.u.
* energy of formation: -610 meV/atom
* energy: -6.80 eV/atom

Lattice parameters (Å, degrees): 4.375 4.375 13.857 90.00 90.00 90.00
Space group P4/nmm (No. 129, origin choice 2)
Inequivalent atoms, fractional coordinates:
Ac (0.250, 0.250, 0.102) x2
Ac (0.250, 0.250, 0.674) x2
Ge (0.250, 0.250, 0.411) x2
Ir (0.250, 0.250, 0.882) x2
Ru (0.250, 0.750, 0.500) x2

***

(3)
Ac4GeIrS2 | PBE | relaxed

Properties
* magnetization: 0.0 μB per formula unit
* Fermi-level density of states: 3.5 states/eV/f.u.
* energy: -6.10 eV/atom

Lattice parameters (Å, degrees): 7.633 4.410 7.755 90.00 108.63 90.00
Space group P2/m (No. 10)
Inequivalent atoms, fractional coordinates:
Ac (0.240, 0.000, 0.263) x2
Ac (0.241, 0.500, 0.739) x2
Ge (0.500, 0.500, 0.500) x1
Ir (0.000, 0.000, 0.500) x1
S (0.000, 0.500, 0.000) x1
S (0.500, 0.000, 0.000) x1

***

(4)
Ac8Ge3IrSe4 | PBE | relaxed

Properties
* magnetization: 0.0 μB per formula unit
* Fermi-level density of states: 6.0 states/eV/f.u.
* energy: -5.67 eV/atom

Lattice parameters (Å, degrees): 9.0396 9.0396 22.4347 90.00 90.00 120.00
Space group R-3m (No. 166, hexagonal axes)
Inequivalent atoms, fractional coordinates:
Ac (0.0000, 0.0000, 0.2475) x6
Ac (0.0075, 0.5037, 0.2436) x18
Ge (0.0000, 0.5000, 0.5000) x9
Ir (0.0000, 0.0000, 0.5000) x3
Se (0.0000, 0.0000, 0.0000) x3
Se (0.0000, 0.5000, 0.0000) x9

***

(5)
Ac4GeIrSe2 | PBE | relaxed

Properties
* magnetization: 0.0 μB per formula unit
* Fermi-level density of states: 3.4 states/eV/f.u.
* energy: -5.91 eV/atom

Lattice parameters (Å, degrees): 7.721 4.465 7.961 90.00 108.40 90.00
Space group P2/m (No. 10)
Inequivalent atoms, fractional coordinates:
Ac (0.238, 0.000, 0.229) x2
Ac (0.242, 0.500, 0.772) x2
Ge (0.500, 0.000, 0.000) x1
Ir (0.000, 0.500, 0.000) x1
Se (0.000, 0.000, 0.500) x1
Se (0.500, 0.500, 0.500) x1

***

(6)
Ac6GeIr2Se3 | PBE | relaxed

Properties
* magnetization: 0.0 μB per formula unit
* Fermi-level density of states: 8.1 states/eV/f.u.
* energy: -6.07 eV/atom

Lattice parameters (Å, degrees): 7.641 13.257 8.038 90.00 108.73 90.00
Space group C2/m (No. 12)
Inequivalent atoms, fractional coordinates:
Ac (0.229, 0.000, 0.228) x4
Ac (0.249, 0.326, 0.227) x8
Ge (0.000, 0.500, 0.000) x2
Ir (0.000, 0.167, 0.000) x4
Se (0.000, 0.000, 0.500) x2
Se (0.000, 0.338, 0.500) x4

***

(7)
Ac2SiGe3Ir4 | PBE | relaxed

Properties
* magnetization: 0.0 μB per formula unit
* Fermi-level density of states: 5.9 states/eV/f.u.
* energy: -7.07 eV/atom

Lattice parameters (Å, degrees): 4.346 4.346 10.362 90.00 90.00 90.00
Space group P-4m2 (No. 115)
Inequivalent atoms, fractional coordinates:
Ac (0.000, 0.500, 0.243) x2
Si (0.500, 0.500, 0.000) x1
Ge (0.000, 0.000, 0.000) x1
Ge (0.000, 0.500, 0.629) x2
Ir (0.000, 0.000, 0.500) x1
Ir (0.000, 0.500, 0.879) x2
Ir (0.500, 0.500, 0.500) x1

***

(8)
AcSiGeIr2 | PBE | relaxed

Properties
* magnetization: 0.0 μB per formula unit
* Fermi-level density of states: 2.4 states/eV/f.u.
* energy: -6.87 eV/atom

Lattice parameters (Å, degrees): 4.187 4.187 6.929 90.00 90.00 90.00
Space group P4mm (No. 99)
Inequivalent atoms, fractional coordinates:
Ac (0.000, 0.000, 0.000) x1
Si (0.000, 0.000, 0.543) x1
Ge (0.500, 0.500, 0.180) x1
Ir (0.000, 0.500, 0.377) x2

***

(9)
AcSmGeIr | PBE | relaxed

Properties
* magnetization: 0.0 μB per formula unit
* Fermi-level density of states: 3.7 states/eV/f.u.
* E above lowest polymorph: 201 meV per atom
* energy of formation: -278 meV/atom
* energy: -5.85 eV/atom

Lattice parameters (Å, degrees): 4.406 4.406 11.503 90.00 90.00 90.00
Space group P4/nmm (No. 129, origin choice 2)
Inequivalent atoms, fractional coordinates:
Ac (0.250, 0.250, 0.158) x2
Sm (0.250, 0.750, 0.500) x2
Ge (0.250, 0.250, 0.682) x2
Ir (0.250, 0.250, 0.889) x2

***

(10)
Ac2SmGe3Ir4 | PBE | relaxed

Properties
* magnetization: 0.0 μB per formula unit
* Fermi-level density of states: 5.0 states/eV/f.u.
* energy of formation: -738 meV/atom
* energy: -6.96 eV/atom

Lattice parameters (Å, degrees): 4.310 4.310 11.446 90.00 90.00 90.00
Space group P-4m2 (No. 115)
Inequivalent atoms, fractional coordinates:
Ac (0.000, 0.500, 0.234) x2
Sm (0.000, 0.000, 0.500) x1
Ge (0.000, 0.500, 0.883) x2
Ge (0.500, 0.500, 0.500) x1
Ir (0.000, 0.000, 0.000) x1
Ir (0.000, 0.500, 0.663) x2
Ir (0.500, 0.500, 0.000) x1

***

(11)
Ac2SmGe4Ir3 | PBE | relaxed

Properties
* magnetization: 0.0 μB per formula unit
* Fermi-level density of states: 6.1 states/eV/f.u.
* energy of formation: -693 meV/atom
* energy: -6.49 eV/atom

Lattice parameters (Å, degrees): 4.421 4.421 11.253 90.00 90.00 90.00
Space group P-4m2 (No. 115)
Inequivalent atoms, fractional coordinates:
Ac (0.000, 0.500, 0.229) x2
Sm (0.000, 0.000, 0.500) x1
Ge (0.000, 0.000, 0.000) x1
Ge (0.000, 0.500, 0.667) x2
Ge (0.500, 0.500, 0.000) x1
Ir (0.000, 0.500, 0.889) x2
Ir (0.500, 0.500, 0.500) x1

***

(12)
AcSmGeIr | PBE | relaxed

Properties
* magnetization: 0.0 μB per formula unit
* Fermi-level density of states: 3.3 states/eV/f.u.
* E above lowest polymorph: 0 meV per atom
* energy of formation: -479 meV/atom
* energy: -6.06 eV/atom

Lattice parameters (Å, degrees): 7.406 7.406 7.406 90.00 90.00 90.00
Space group F-43m (No. 216)
Inequivalent atoms, fractional coordinates:
Ac (0.000, 0.000, 0.000) x4
Sm (0.000, 0.000, 0.500) x4
Ge (0.250, 0.250, 0.750) x4
Ir (0.250, 0.250, 0.250) x4